(1)
# HfOs3Se

A relaxed structure of HfOs3Se (PBE, Alexandria via LeMat-Bulk).

Properties
Polymorph energy (0 for the lowest one) ... 1.342 eV/atom
ρ ... 12274 kg/m³
Energy ... -6.883 eV/atom
Symmetry ... Pm-3m, No. 221

a = 4.821 Å, b = 4.821 Å, c = 4.821 Å
α = 90.00°, β = 90.00°, γ = 90.00°
Fractional coordinates of all 5 atoms:
Hf 0.000 0.000 0.000
Os 0.000 0.500 0.000
Os 0.000 0.000 0.500
Os 0.500 0.000 0.000
Se 0.500 0.500 0.500

(2)
# HfTeOsSe2

A relaxed structure of HfTeOsSe2 (PBE, Alexandria via LeMat-Bulk).

Properties
ρ ... 8268 kg/m³
Energy ... -4.867 eV/atom
Symmetry ... P4/mmm, No. 123

a = 5.185 Å, b = 4.887 Å, c = 5.185 Å
α = 90.00°, β = 90.00°, γ = 90.00°
Fractional coordinates of all 5 atoms:
Hf 0.500 0.500 0.500
Te 0.000 0.000 0.000
Os 0.000 0.500 0.000
Se 0.000 0.000 0.500
Se 0.500 0.000 0.000

(3)
# YHfOs2Se

A relaxed structure of YHfOs2Se (PBE, Alexandria via LeMat-Bulk).

Properties
ρ ... 11404 kg/m³
Energy ... -7.660 eV/atom
Symmetry ... P4/mmm, No. 123

a = 4.602 Å, b = 4.998 Å, c = 4.602 Å
α = 90.00°, β = 90.00°, γ = 90.00°
Fractional coordinates of all 5 atoms:
Y 0.000 0.500 0.000
Hf 0.500 0.500 0.500
Os 0.000 0.000 0.500
Os 0.500 0.000 0.000
Se 0.000 0.000 0.000

(4)
# HfSiOs3

A relaxed structure of HfSiOs3 (PBE, Alexandria via LeMat-Bulk).

Properties
Polymorph energy (0 for the lowest one) ... 2.166 eV/atom
ρ ... 11649 kg/m³
Energy ... -7.272 eV/atom
Symmetry ... Pm-3m, No. 221

a = 4.803 Å, b = 4.803 Å, c = 4.803 Å
α = 90.00°, β = 90.00°, γ = 90.00°
Last column: magnetic moment on the atom in μB.
Fractional coordinates of all 5 atoms:
Hf 0.000 0.000 0.000  -0.04
Si 0.500 0.500 0.500  -0.02
Os 0.000 0.500 0.000  0.31
Os 0.000 0.000 0.500  0.24
Os 0.500 0.000 0.000  0.31

(5)
# HfSiOs2

A relaxed structure of HfSiOs2 (PBE, Alexandria via LeMat-Bulk).

Properties
ρ ... 16159 kg/m³
Energy ... -9.909 eV/atom
Symmetry ... P4/mmm, No. 123

a = 3.190 Å, b = 4.349 Å, c = 4.349 Å
α = 90.00°, β = 90.00°, γ = 90.00°
Fractional coordinates of all 4 atoms:
Hf 0.500 0.500 0.500
Si 0.500 0.000 0.000
Os 0.000 0.000 0.500
Os 0.000 0.500 0.000

(6)
# HfSiOs2

A relaxed structure of HfSiOs2 (PBE, Alexandria via LeMat-Bulk).

Properties
ρ ... 14455 kg/m³
Energy ... -9.357 eV/atom
Symmetry ... I-42d, No. 122

a = 7.025 Å, b = 7.025 Å, c = 5.670 Å
α = 51.72°, β = 51.72°, γ = 90.00°
Fractional coordinates of all 8 atoms:
Hf 0.000 0.000 0.000
Hf 0.750 0.250 0.500
Si 0.500 0.500 0.000
Si 0.250 0.750 0.500
Os 0.559 0.125 0.250
Os 0.191 0.625 0.250
Os 0.375 0.441 0.750
Os 0.875 0.809 0.750

(7)
# HfSiOs3

A relaxed structure of HfSiOs3 (PBE, Alexandria via LeMat-Bulk).

Properties
Polymorph energy (0 for the lowest one) ... 0.000 eV/atom
ρ ... 15332 kg/m³
Energy ... -9.438 eV/atom
Symmetry ... Pm-3m, No. 221

a = 4.383 Å, b = 4.383 Å, c = 4.383 Å
α = 90.00°, β = 90.00°, γ = 90.00°
Fractional coordinates of all 5 atoms:
Hf 0.500 0.500 0.500
Si 0.000 0.000 0.000
Os 0.000 0.500 0.000
Os 0.000 0.000 0.500
Os 0.500 0.000 0.000

(8)
# HfSi2Os2

A relaxed structure of HfSi2Os2 (PBE, Alexandria via LeMat-Bulk).

Properties
ρ ... 13869 kg/m³
Energy ... -9.027 eV/atom
Symmetry ... P4/mbm, No. 127

a = 7.187 Å, b = 7.187 Å, c = 2.852 Å
α = 90.00°, β = 90.00°, γ = 90.00°
Fractional coordinates of all 10 atoms:
Hf 0.000 0.000 0.000
Hf 0.500 0.500 0.000
Si 0.356 0.856 0.000
Si 0.856 0.644 0.000
Si 0.644 0.144 0.000
Si 0.144 0.356 0.000
Os 0.149 0.649 0.500
Os 0.649 0.851 0.500
Os 0.851 0.351 0.500
Os 0.351 0.149 0.500

- Which of these has the lowest ρ?
  HfTeOsSe2

- ρ of number 1 (HfOs3Se)?
  12274 kg/m³